## BaHf2Re (PBE)

Data for a geometry-optimized BaHf2Re structure.

Lattice parameters (Å, degrees): 5.000 5.000 5.000 60.00 60.00 60.00
Fractional coordinates of all 4 atoms:
1 Ba 0.000 0.000 0.000
2 Hf 0.250 0.250 0.250
3 Hf 0.750 0.750 0.750
4 Re 0.500 0.500 0.500

The polymorph energy (0 for the lowest one) comes out at 0.000 eV per atom. The energy of formation comes out at 0.76 eV/atom.

## BaHf2Re (PBE)

Data for a geometry-optimized BaHf2Re structure.

Lattice parameters (Å, degrees): 9.340 9.340 9.340 143.18 143.18 53.05
Fractional coordinates of all 8 atoms:
1 Ba 0.375 0.625 0.750
2 Ba 0.625 0.375 0.250
3 Hf 0.000 0.000 0.000
4 Hf 0.000 0.000 0.500
5 Hf 0.000 0.500 0.000
6 Hf 0.500 0.000 0.500
7 Re 0.125 0.875 0.250
8 Re 0.875 0.125 0.750

The polymorph energy (0 for the lowest one) comes out at 0.380 eV per atom. The energy of formation comes out at 1.14 eV/atom.

## BaHf3Re (PBE)

Data for a geometry-optimized BaHf3Re structure.

Lattice parameters (Å, degrees): 5.207 5.207 5.207 90.00 90.00 90.00
Fractional coordinates of all 5 atoms:
1 Ba 0.000 0.000 0.000
2 Hf 0.000 0.500 0.500
3 Hf 0.500 0.000 0.500
4 Hf 0.500 0.500 0.000
5 Re 0.500 0.500 0.500

The polymorph energy (0 for the lowest one) comes out at 0.000 eV per atom. The energy of formation comes out at 0.46 eV/atom.

## BaHf3Re (PBE)

Data for a geometry-optimized BaHf3Re structure.

Lattice parameters (Å, degrees): 5.094 5.094 5.094 90.00 90.00 90.00
Fractional coordinates of all 5 atoms:
1 Ba 0.000 0.000 0.000
2 Hf 0.000 0.000 0.500
3 Hf 0.000 0.500 0.000
4 Hf 0.500 0.000 0.000
5 Re 0.500 0.500 0.500

The polymorph energy (0 for the lowest one) comes out at 2.268 eV per atom. The energy of formation comes out at 2.73 eV/atom.

## BaHfReSe2 (PBE)

Data for a geometry-optimized BaHfReSe2 structure.

Lattice parameters (Å, degrees): 5.719 5.719 5.515 90.00 90.00 90.00
Fractional coordinates of all 5 atoms:
1 Ba 0.000 0.000 0.000
2 Hf 0.500 0.500 0.500
3 Re 0.000 0.000 0.500
4 Se 0.000 0.500 0.000
5 Se 0.500 0.000 0.000

The uncorrected formation energy is 1.957 eV per atom.

## BaSr2HfRe (PBE)

Data for a geometry-optimized BaSr2HfRe structure.

Lattice parameters (Å, degrees): 5.750 5.750 5.370 90.00 90.00 90.00
Fractional coordinates of all 5 atoms:
1 Ba 0.000 0.000 0.000
2 Sr 0.000 0.500 0.000
3 Sr 0.500 0.000 0.000
4 Hf 0.000 0.000 0.500
5 Re 0.500 0.500 0.500

The energy of formation comes out at 2.42 eV/atom.

## BaYHf2Re (PBE)

Data for a geometry-optimized BaYHf2Re structure.

Lattice parameters (Å, degrees): 5.400 5.400 5.085 90.00 90.00 90.00
Fractional coordinates of all 5 atoms:
1 Ba 0.000 0.000 0.000
2 Y 0.500 0.500 0.500
3 Hf 0.000 0.500 0.500
4 Hf 0.500 0.000 0.500
5 Re 0.500 0.500 0.000

The energy of formation comes out at 1.64 eV/atom.

## BaHfZn2Re (PBE)

Data for a geometry-optimized BaHfZn2Re structure.

Lattice parameters (Å, degrees): 5.101 5.101 5.564 90.00 90.00 90.00
Fractional coordinates of all 5 atoms:
1 Ba 0.000 0.000 0.000
2 Hf 0.000 0.000 0.500
3 Zn 0.000 0.500 0.000
4 Zn 0.500 0.000 0.000
5 Re 0.500 0.500 0.500

The energy of formation comes out at 2.67 eV/atom.

## BaHf2Rh (PBE)

Data for a geometry-optimized BaHf2Rh structure.

Lattice parameters (Å, degrees): 4.970 4.970 4.970 60.00 60.00 60.00
Fractional coordinates of all 4 atoms:
1 Ba 0.000 0.000 0.000
2 Hf 0.250 0.250 0.250
3 Hf 0.750 0.750 0.750
4 Rh 0.500 0.500 0.500

The polymorph energy (0 for the lowest one) comes out at 0.000 eV per atom. The energy of formation comes out at 0.42 eV/atom.

## Ba3HfRh (PBE)

Data for a geometry-optimized Ba3HfRh structure.

Lattice parameters (Å, degrees): 5.949 5.949 5.949 90.00 90.00 90.00
Fractional coordinates of all 5 atoms:
1 Ba 0.000 0.000 0.500
2 Ba 0.000 0.500 0.000
3 Ba 0.500 0.000 0.000
4 Hf 0.500 0.500 0.500
5 Rh 0.000 0.000 0.000

The polymorph energy (0 for the lowest one) comes out at 0.000 eV per atom. The energy of formation comes out at 0.59 eV/atom.

## BaHfRh3 (PBE)

Data for a geometry-optimized BaHfRh3 structure.

Lattice parameters (Å, degrees): 4.933 4.933 4.933 90.00 90.00 90.00
Fractional coordinates of all 5 atoms:
1 Ba 0.000 0.000 0.000
2 Hf 0.500 0.500 0.500
3 Rh 0.000 0.500 0.500
4 Rh 0.500 0.000 0.500
5 Rh 0.500 0.500 0.000

The polymorph energy (0 for the lowest one) comes out at 0.000 eV per atom. The energy of formation comes out at 0.05 eV/atom.

## BaHf2Rh (PBE)

Data for a geometry-optimized BaHf2Rh structure.

Lattice parameters (Å, degrees): 9.511 9.511 9.511 145.25 145.25 49.96
Fractional coordinates of all 8 atoms:
1 Ba 0.375 0.625 0.750
2 Ba 0.625 0.375 0.250
3 Hf 0.000 0.000 0.000
4 Hf 0.000 0.000 0.500
5 Hf 0.000 0.500 0.000
6 Hf 0.500 0.000 0.500
7 Rh 0.125 0.875 0.250
8 Rh 0.875 0.125 0.750

The polymorph energy (0 for the lowest one) comes out at 0.196 eV per atom. The energy of formation comes out at 0.62 eV/atom.

## Ba2HfRh2 (PBE)

Data for a geometry-optimized Ba2HfRh2 structure.

Lattice parameters (Å, degrees): 7.045 7.045 5.361 90.00 90.00 90.00
Fractional coordinates of all 10 atoms:
1 Ba 0.175 0.325 0.000
2 Ba 0.325 0.825 0.000
3 Ba 0.675 0.175 0.000
4 Ba 0.825 0.675 0.000
5 Hf 0.000 0.000 0.500
6 Hf 0.500 0.500 0.500
7 Rh 0.134 0.634 0.500
8 Rh 0.366 0.134 0.500
9 Rh 0.634 0.866 0.500
10 Rh 0.866 0.366 0.500

The energy of formation comes out at -0.08 eV/atom.

## BaHfRh3 (PBE)

Data for a geometry-optimized BaHfRh3 structure.

Lattice parameters (Å, degrees): 4.979 4.979 4.979 90.00 90.00 90.00
Fractional coordinates of all 5 atoms:
1 Ba 0.000 0.000 0.000
2 Hf 0.500 0.500 0.500
3 Rh 0.000 0.000 0.500
4 Rh 0.000 0.500 0.000
5 Rh 0.500 0.000 0.000

The polymorph energy (0 for the lowest one) comes out at 1.574 eV per atom. The energy of formation comes out at 1.63 eV/atom.

## BaHf2SbRh (PBE)

Data for a geometry-optimized BaHf2SbRh structure.

Lattice parameters (Å, degrees): 5.020 5.020 6.041 90.00 90.00 90.00
Fractional coordinates of all 5 atoms:
1 Ba 0.000 0.000 0.000
2 Hf 0.000 0.500 0.500
3 Hf 0.500 0.000 0.500
4 Sb 0.500 0.500 0.000
5 Rh 0.000 0.000 0.500

The uncorrected formation energy is 0.105 eV per atom.

## BaHfVRh2 (PBE)

Data for a geometry-optimized BaHfVRh2 structure.

Lattice parameters (Å, degrees): 4.628 4.628 5.164 90.00 90.00 90.00
Fractional coordinates of all 5 atoms:
1 Ba 0.000 0.000 0.000
2 Hf 0.500 0.500 0.000
3 V 0.000 0.000 0.500
4 Rh 0.000 0.500 0.500
5 Rh 0.500 0.000 0.500

The energy of formation comes out at 0.93 eV/atom.

## BaHfRu3 (PBE)

Data for a geometry-optimized BaHfRu3 structure.

Lattice parameters (Å, degrees): 4.885 4.885 4.885 90.00 90.00 90.00
Fractional coordinates of all 5 atoms:
1 Ba 0.000 0.000 0.000
2 Hf 0.500 0.500 0.500
3 Ru 0.000 0.000 0.500
4 Ru 0.000 0.500 0.000
5 Ru 0.500 0.000 0.000

The polymorph energy (0 for the lowest one) comes out at 1.366 eV per atom. The energy of formation comes out at 2.31 eV/atom.

## BaHf2Ru (PBE)

Data for a geometry-optimized BaHf2Ru structure.

Lattice parameters (Å, degrees): 4.973 4.973 4.973 60.00 60.00 60.00
Fractional coordinates of all 4 atoms:
1 Ba 0.000 0.000 0.000
2 Hf 0.250 0.250 0.250
3 Hf 0.750 0.750 0.750
4 Ru 0.500 0.500 0.500

The polymorph energy (0 for the lowest one) comes out at 0.000 eV per atom. The energy of formation comes out at 0.59 eV/atom.

## BaHf3Ru (PBE)

Data for a geometry-optimized BaHf3Ru structure.

Lattice parameters (Å, degrees): 5.146 5.146 5.146 90.00 90.00 90.00
Fractional coordinates of all 5 atoms:
1 Ba 0.000 0.000 0.000
2 Hf 0.000 0.500 0.500
3 Hf 0.500 0.000 0.500
4 Hf 0.500 0.500 0.000
5 Ru 0.500 0.500 0.500

The polymorph energy (0 for the lowest one) comes out at 0.000 eV per atom. The energy of formation comes out at 0.27 eV/atom.

## BaHf3Ru (PBE)

Data for a geometry-optimized BaHf3Ru structure.

Lattice parameters (Å, degrees): 5.137 5.137 5.137 90.00 90.00 90.00
Fractional coordinates of all 5 atoms:
1 Ba 0.000 0.000 0.000
2 Hf 0.000 0.000 0.500
3 Hf 0.000 0.500 0.000
4 Hf 0.500 0.000 0.000
5 Ru 0.500 0.500 0.500

The polymorph energy (0 for the lowest one) comes out at 2.200 eV per atom. The energy of formation comes out at 2.47 eV/atom.

## BaHfRu3 (PBE)

Data for a geometry-optimized BaHfRu3 structure.

Lattice parameters (Å, degrees): 4.965 4.965 4.965 90.00 90.00 90.00
Fractional coordinates of all 5 atoms:
1 Ba 0.000 0.000 0.000
2 Hf 0.500 0.500 0.500
3 Ru 0.000 0.500 0.500
4 Ru 0.500 0.000 0.500
5 Ru 0.500 0.500 0.000

The polymorph energy (0 for the lowest one) comes out at 0.000 eV per atom. The energy of formation comes out at 0.94 eV/atom.

## BaHf2Ru (PBE)

Data for a geometry-optimized BaHf2Ru structure.

Lattice parameters (Å, degrees): 9.252 9.252 9.252 143.36 143.36 52.78
Fractional coordinates of all 8 atoms:
1 Ba 0.375 0.625 0.750
2 Ba 0.625 0.375 0.250
3 Hf 0.000 0.000 0.000
4 Hf 0.000 0.000 0.500
5 Hf 0.000 0.500 0.000
6 Hf 0.500 0.000 0.500
7 Ru 0.125 0.875 0.250
8 Ru 0.875 0.125 0.750

The polymorph energy (0 for the lowest one) comes out at 0.236 eV per atom. The energy of formation comes out at 0.82 eV/atom.

## Ba3HfS5 (PBE)

Data for a geometry-optimized Ba3HfS5 structure.

Lattice parameters (Å, degrees): 9.442 9.442 9.442 126.01 126.01 79.87
Fractional coordinates of all 18 atoms:
1 Ba 0.164 0.664 0.827
2 Ba 0.250 0.250 0.000
3 Ba 0.336 0.164 0.500
4 Ba 0.664 0.836 0.500
5 Ba 0.750 0.750 0.000
6 Ba 0.836 0.336 0.173
7 Hf 0.250 0.750 0.500
8 Hf 0.750 0.250 0.500
9 S 0.000 0.000 0.000
10 S 0.004 0.197 0.500
11 S 0.197 0.697 0.193
12 S 0.303 0.496 0.500
13 S 0.496 0.996 0.193
14 S 0.500 0.500 0.000
15 S 0.504 0.004 0.807
16 S 0.697 0.504 0.500
17 S 0.803 0.303 0.807
18 S 0.996 0.803 0.500

The uncorrected formation energy is -1.900 eV per atom.

## BaHfS4 (PBE)

Data for a geometry-optimized BaHfS4 structure.

Lattice parameters (Å, degrees): 4.376 4.376 7.743 90.00 90.00 90.00
Fractional coordinates of all 6 atoms:
1 Ba 0.000 0.000 0.000
2 Hf 0.500 0.500 0.500
3 S 0.000 0.500 0.299
4 S 0.000 0.500 0.701
5 S 0.500 0.000 0.299
6 S 0.500 0.000 0.701

The polymorph energy (0 for the lowest one) comes out at 0.273 eV per atom. The uncorrected formation energy is -1.105 eV per atom.

## Ba3Hf2S7 (PBE)

Data for a geometry-optimized Ba3Hf2S7 structure.

Lattice parameters (Å, degrees): 13.247 13.247 4.921 90.00 90.00 158.12
Fractional coordinates of all 12 atoms:
1 Ba 0.000 0.000 0.000
2 Ba 0.178 0.822 0.000
3 Ba 0.822 0.178 0.000
4 Hf 0.400 0.600 0.500
5 Hf 0.600 0.400 0.500
6 S 0.094 0.906 0.500
7 S 0.304 0.696 0.500
8 S 0.403 0.597 0.000
9 S 0.500 0.500 0.500
10 S 0.597 0.403 0.000
11 S 0.696 0.304 0.500
12 S 0.906 0.094 0.500

The uncorrected formation energy is -1.820 eV per atom.

## BaHf2S (PBE)

Data for a geometry-optimized BaHf2S structure.

Lattice parameters (Å, degrees): 9.918 9.918 9.918 149.40 149.40 43.83
Fractional coordinates of all 8 atoms:
1 Ba 0.000 0.000 0.000
2 Ba 0.750 0.250 0.500
3 Hf 0.348 0.625 0.223
4 Hf 0.375 0.598 0.723
5 Hf 0.402 0.125 0.777
6 Hf 0.875 0.652 0.277
7 S 0.250 0.750 0.500
8 S 0.500 0.500 0.000

The uncorrected formation energy is 0.131 eV per atom.

## BaHf3S (PBE)

Data for a geometry-optimized BaHf3S structure.

Lattice parameters (Å, degrees): 5.310 5.310 5.310 90.00 90.00 90.00
Fractional coordinates of all 5 atoms:
1 Ba 0.000 0.000 0.000
2 Hf 0.000 0.000 0.500
3 Hf 0.000 0.500 0.000
4 Hf 0.500 0.000 0.000
5 S 0.500 0.500 0.500

The polymorph energy (0 for the lowest one) comes out at 2.267 eV per atom. The uncorrected formation energy is 2.238 eV per atom.

no.,magnetic moment (μB/atom)
1,0.000
2,0.000
3,0.000
4,0.000
5,0.529
6,0.022
7,0.167
8,0.010
9,0.000
10,0.366
11,0.000
12,0.000
13,0.000
14,0.000
15,0.000
16,0.000
17,0.213
18,0.000
19,0.000
20,0.000
21,0.654
22,0.000
23,0.000
24,0.000
25,0.000
26,0.000
27,0.000